Compound: CeSiBRu3
Source: the Alexandria database
Functional: PBE
Structure: optimized geometry

Cell: 5.7696 5.7220 6.4638 Å, 116.27 90.00 90.00°
Fractional coordinates of all 12 atoms:
Ce: 0.7500 0.2530 0.5060
Ce: 0.2500 0.7470 0.4940
Si: 0.2500 0.3789 0.7578
Si: 0.7500 0.6211 0.2422
B: 0.2500 0.9938 0.9876
B: 0.7500 0.0062 0.0124
Ru: 0.2500 0.1782 0.3565
Ru: 0.0000 0.2548 0.0000
Ru: 0.5000 0.7452 0.0000
Ru: 0.5000 0.2548 0.0000
Ru: 0.0000 0.7452 0.0000
Ru: 0.7500 0.8218 0.6435

Output
SG	No. 63
raw total energy	-8.097	eV per atom
ΔE_f (raw)	-453	meV per atom



Compound: Ce2TaB2Ru5
Source: the Alexandria database
Functional: PBE
Structure: optimized geometry

Cell: 3.1178 9.7966 9.7966 Å, 90.00 90.00 90.00°
Fractional coordinates of all 20 atoms:
Ce: 0.0000 0.6761 0.1761
Ce: 0.0000 0.3239 0.8239
Ce: 0.0000 0.1761 0.3239
Ce: 0.0000 0.8239 0.6761
Ta: 0.0000 0.0000 0.0000
Ta: 0.0000 0.5000 0.5000
B: 0.0000 0.1205 0.6205
B: 0.0000 0.8795 0.3795
B: 0.0000 0.6205 0.8795
B: 0.0000 0.3795 0.1205
Ru: 0.5000 0.2197 0.0699
Ru: 0.5000 0.7803 0.9301
Ru: 0.5000 0.0699 0.7803
Ru: 0.5000 0.7197 0.4301
Ru: 0.5000 0.9301 0.2197
Ru: 0.5000 0.2803 0.5699
Ru: 0.5000 0.5699 0.7197
Ru: 0.5000 0.4301 0.2803
Ru: 0.5000 0.5000 0.0000
Ru: 0.5000 0.0000 0.5000

Output
SG	No. 127
formation enthalpy at 0 K	-0.525	eV/atom
raw total energy	-8.871	eV per atom



Compound: CeTm2B2Ru5
Source: the Alexandria database
Functional: PBE
Structure: optimized geometry

Cell: 3.1826 9.7538 9.7538 Å, 90.00 90.00 90.00°
Fractional coordinates of all 20 atoms:
Ce: 0.0000 0.0000 0.0000
Ce: 0.0000 0.5000 0.5000
Tm: 0.0000 0.6723 0.1723
Tm: 0.0000 0.3277 0.8277
Tm: 0.0000 0.1723 0.3277
Tm: 0.0000 0.8277 0.6723
B: 0.0000 0.1202 0.6202
B: 0.0000 0.8798 0.3798
B: 0.0000 0.6202 0.8798
B: 0.0000 0.3798 0.1202
Ru: 0.5000 0.2228 0.0728
Ru: 0.5000 0.7772 0.9272
Ru: 0.5000 0.0728 0.7772
Ru: 0.5000 0.7228 0.4272
Ru: 0.5000 0.9272 0.2228
Ru: 0.5000 0.2772 0.5728
Ru: 0.5000 0.5728 0.7228
Ru: 0.5000 0.4272 0.2772
Ru: 0.5000 0.5000 0.0000
Ru: 0.5000 0.0000 0.5000

Output
SG	No. 127
formation enthalpy at 0 K	-0.473	eV/atom
raw total energy	-7.934	eV per atom



Compound: Ce2VB2Ru5
Source: the Alexandria database
Functional: PBE
Structure: optimized geometry

Cell: 3.0793 9.6800 9.6800 Å, 90.00 90.00 90.00°
Fractional coordinates of all 20 atoms:
Ce: 0.0000 0.6768 0.1768
Ce: 0.0000 0.3232 0.8232
Ce: 0.0000 0.1768 0.3232
Ce: 0.0000 0.8232 0.6768
V: 0.0000 0.0000 0.0000
V: 0.0000 0.5000 0.5000
B: 0.0000 0.1218 0.6218
B: 0.0000 0.8782 0.3782
B: 0.0000 0.6218 0.8782
B: 0.0000 0.3782 0.1218
Ru: 0.5000 0.2157 0.0690
Ru: 0.5000 0.7843 0.9310
Ru: 0.5000 0.0690 0.7843
Ru: 0.5000 0.7157 0.4310
Ru: 0.5000 0.9310 0.2157
Ru: 0.5000 0.2843 0.5690
Ru: 0.5000 0.5690 0.7157
Ru: 0.5000 0.4310 0.2843
Ru: 0.5000 0.5000 0.0000
Ru: 0.5000 0.0000 0.5000

Output
SG	No. 127
formation enthalpy at 0 K	-0.468	eV/atom
raw total energy	-8.540	eV per atom



Compound: CeY2B2Ru5
Source: the Alexandria database
Functional: PBE
Structure: optimized geometry

Cell: 3.1974 9.8284 9.8284 Å, 90.00 90.00 90.00°
Fractional coordinates of all 20 atoms:
Ce: 0.0000 0.0000 0.0000
Ce: 0.0000 0.5000 0.5000
Y: 0.0000 0.6730 0.1730
Y: 0.0000 0.3270 0.8270
Y: 0.0000 0.1730 0.3270
Y: 0.0000 0.8270 0.6730
B: 0.0000 0.1199 0.6199
B: 0.0000 0.8801 0.3801
B: 0.0000 0.6199 0.8801
B: 0.0000 0.3801 0.1199
Ru: 0.5000 0.2237 0.0722
Ru: 0.5000 0.7763 0.9278
Ru: 0.5000 0.0722 0.7763
Ru: 0.5000 0.7237 0.4278
Ru: 0.5000 0.9278 0.2237
Ru: 0.5000 0.2763 0.5722
Ru: 0.5000 0.5722 0.7237
Ru: 0.5000 0.4278 0.2763
Ru: 0.5000 0.5000 0.0000
Ru: 0.5000 0.0000 0.5000

Output
SG	No. 127
formation enthalpy at 0 K	-0.419	eV/atom
raw total energy	-8.278	eV per atom



Compound: Ce2B2S5
Source: the Alexandria database
Functional: PBE
Structure: optimized geometry

Cell: 3.6690 9.1718 7.6996 Å, 123.29 90.00 101.54°
Fractional coordinates of all 9 atoms:
Ce: 0.3675 0.7351 0.7451
Ce: 0.6325 0.2649 0.2549
B: 0.2054 0.4108 0.8528
B: 0.7946 0.5892 0.1472
S: 0.3305 0.6610 0.0834
S: 0.6695 0.3390 0.9166
S: 0.1785 0.3571 0.5807
S: 0.8215 0.6429 0.4193
S: 0.0000 0.0000 0.0000

Output
SG	No. 12
raw total energy	-5.984	eV per atom
ΔE_f (raw)	-889	meV per atom



Compound: CeBS2
Source: the Alexandria database
Functional: PBE
Structure: optimized geometry

Cell: 3.4355 4.9500 5.3352 Å, 118.18 108.78 69.70°
Fractional coordinates of all 4 atoms:
Ce: 0.5879 0.5100 0.0518
B: 0.2592 0.0208 0.9053
S: 0.3718 0.1966 0.3062
S: 0.7811 0.8086 0.7367

Output
distance to the lowest polymorph of the same formula	0	meV/atom
SG	No. 8
raw total energy	-6.023	eV per atom
ΔE_f (raw)	-806	meV per atom



Compound: CeB2S6
Source: the Alexandria database
Functional: PBE
Structure: optimized geometry

Cell: 5.8162 7.8216 7.8216 Å, 83.37 77.26 77.26°
Fractional coordinates of all 18 atoms:
Ce: 0.2500 0.1795 0.8205
Ce: 0.7500 0.8205 0.1795
B: 0.3088 0.6569 0.7662
B: 0.1912 0.2338 0.3431
B: 0.6912 0.3431 0.2338
B: 0.8088 0.7662 0.6569
S: 0.5454 0.7290 0.5635
S: 0.9546 0.4365 0.2710
S: 0.4546 0.2710 0.4365
S: 0.0454 0.5635 0.7290
S: 0.0108 0.8747 0.4597
S: 0.4892 0.5403 0.1253
S: 0.9892 0.1253 0.5403
S: 0.5108 0.4597 0.8747
S: 0.1750 0.8379 0.9206
S: 0.3250 0.0794 0.1621
S: 0.8250 0.1621 0.0794
S: 0.6750 0.9206 0.8379

Output
SG	No. 15
raw total energy	-5.528	eV per atom
ΔE_f (raw)	-633	meV per atom